Compound: Sr2ScVO6
Source: Alexandria via LeMat-Bulk
Functional: GGA+U
Structure: optimized geometry

Cell and atoms, written as POSCAR:
```
Sr2ScVO6
1.0
-0.443 -2.029 -3.440
-0.242 -3.441 2.061
-7.881 0.859 0.509
O V Sr Sc
6 1 2 1
direct
0.500 0.500 0.272
0.000 0.500 0.500
0.000 0.500 0.000
0.500 0.000 0.000
0.500 0.000 0.500
0.500 0.500 0.728
0.500 0.500 0.500
0.000 0.000 0.761
0.000 0.000 0.239
0.500 0.500 0.000
```

Properties
Space group: P4/mmm (123)
Energy (eV/f.u.): -74.12
Crystal system: tetragonal